[1]
Density functional theory data (PBE) for an optimized crystal structure of MgScZn2.

Unit cell a=3.4326 b=4.6182 c=4.6182 alpha=90.00 beta=90.00 gamma=90.00
Fractional positions:
Sc  0.5000  0.0000  0.0000
Zn  0.0000  0.0000  0.5000
Zn  0.0000  0.5000  0.0000
Mg  0.5000  0.5000  0.5000

magnetic moment	0.00	μB/cell
D(E_F)	0.379	states/eV/atom
E_form	-0.267	eV per atom

---

[2]
Density functional theory data (PBE) for an optimized crystal structure of MgSc2Zn.

Unit cell a=5.4937 b=5.4937 c=5.4937 alpha=134.07 beta=134.07 gamma=66.98
Fractional positions:
Mg  0.7500  0.2500  0.5000
Sc  0.0000  0.0000  0.0000
Sc  0.2500  0.7500  0.5000
Zn  0.5000  0.5000  0.0000

magnetic moment	0.00	μB/cell
D(E_F)	1.149	states/eV/atom
E_form	-0.034	eV per atom

---

[3]
Density functional theory data (PBE) for an optimized crystal structure of MgSc2Zn.

Unit cell a=3.1929 b=3.1929 c=8.3589 alpha=90.00 beta=90.00 gamma=90.00
Last column: magnetic moment on the atom in μB.
Fractional positions:
Sc  0.0000  0.0000  0.9993  0.14
Sc  0.5000  0.5000  0.2833  0.12
Zn  0.0000  0.0000  0.5026  0.00
Mg  0.5000  0.5000  0.7148  0.00

magnetic moment	0.40	μB/cell
D(E_F)	1.160	states/eV/atom
E_form	-0.135	eV per atom

---

What is the magnetic moment in the first record? 0.00 μB/cell

---

Look up the D(E_F) of the first one. 0.379 states/eV/atom

---

Which of these has the lowest D(E_F)? MgScZn2

---

Repeat the third record exactly.
Density functional theory data (PBE) for an optimized crystal structure of MgSc2Zn.

Unit cell a=3.1929 b=3.1929 c=8.3589 alpha=90.00 beta=90.00 gamma=90.00
Last column: magnetic moment on the atom in μB.
Fractional positions:
Sc  0.0000  0.0000  0.9993  0.14
Sc  0.5000  0.5000  0.2833  0.12
Zn  0.0000  0.0000  0.5026  0.00
Mg  0.5000  0.5000  0.7148  0.00

magnetic moment	0.40	μB/cell
D(E_F)	1.160	states/eV/atom
E_form	-0.135	eV per atom